A plane-wave DFT calculation with PBE-GGA was carried out for a relaxed structure of SmCdAu3.

a b c (Å): 5.5881 6.8983 6.8983
angles (deg): 120.00 90.00 90.00
Closest atoms and distances in Å follow each position.
Element x y z (fractional)
Au 0.7500 0.2002 0.7998  2 Au 2.76, 2 Cd 2.77
Au 0.2500 0.7998 0.5998  2 Au 2.76, 2 Cd 2.77
Au 0.7500 0.2002 0.4002  2 Au 2.76, 2 Cd 2.77
Au 0.2500 0.7998 0.2002  2 Au 2.76, 2 Cd 2.77
Au 0.2500 0.4002 0.2002  2 Au 2.76, 2 Cd 2.77
Au 0.7500 0.5998 0.7998  2 Au 2.76, 2 Cd 2.77
Sm 0.2500 0.3335 0.6665  12 Au 3.22-3.48
Sm 0.7500 0.6665 0.3335  12 Au 3.22-3.48
Cd 0.5000 0.0000 0.0000  6 Au 2.77, 2 Cd 2.79
Cd 0.0000 0.0000 0.0000  6 Au 2.77, 2 Cd 2.79

Results
spin magnetization: 0.000 Bohr magnetons per cell
VASP energy: -35.2 eV/cell
space group: P6_3/mmc